A plane-wave DFT calculation with PBE with a Hubbard U was carried out for a relaxed BaMgV2CuO8 crystal.

Space group ... Iba2, No. 45
Energy ... -355.27 eV/cell

Cell: 8.413 9.955 9.955 Å, 76.64 65.01 65.01°
Last column: magnetic moment on the atom in μB.
Atoms (fractional coordinates):
V (0.000, 0.205, 0.795)  0.05
V (0.076, 0.545, 0.798)  0.01
V (0.000, 0.705, 0.295)  0.05
V (0.924, 0.202, 0.455)  0.01
V (0.500, 0.543, 0.457)  0.03
V (0.500, 0.043, 0.957)  0.03
V (0.581, 0.045, 0.298)  0.01
V (0.419, 0.702, 0.955)  0.01
O (0.901, 0.222, 0.287)  0.01
O (0.713, 0.895, 0.963)  0.06
O (0.287, 0.037, 0.105)  0.06
O (0.984, 0.037, 0.794)  0.07
O (0.003, 0.550, 0.655)  0.09
O (0.320, 0.711, 0.457)  0.01
O (0.815, 0.706, 0.463)  0.07
O (0.940, 0.715, 0.141)  0.06
O (0.410, 0.213, 0.278)  0.01
O (0.793, 0.050, 0.155)  0.09
O (0.571, 0.537, 0.605)  0.06
O (0.429, 0.395, 0.463)  0.06
O (0.203, 0.215, 0.641)  0.06
O (0.416, 0.526, 0.961)  0.02
O (0.797, 0.359, 0.785)  0.06
O (0.997, 0.345, 0.450)  0.09
O (0.099, 0.713, 0.778)  0.01
O (0.473, 0.714, 0.104)  0.00
O (0.060, 0.859, 0.285)  0.06
O (0.016, 0.206, 0.963)  0.07
O (0.708, 0.214, 0.604)  0.00
O (0.292, 0.396, 0.786)  0.00
O (0.527, 0.896, 0.286)  0.00
O (0.207, 0.845, 0.950)  0.09
O (0.584, 0.039, 0.474)  0.02
O (0.096, 0.026, 0.461)  0.02
O (0.680, 0.543, 0.289)  0.01
O (0.513, 0.211, 0.957)  0.01
O (0.590, 0.722, 0.787)  0.01
O (0.487, 0.043, 0.789)  0.01
O (0.185, 0.537, 0.294)  0.07
O (0.904, 0.539, 0.974)  0.02
Mg (0.456, 0.212, 0.623)  0.00
Mg (0.709, 0.712, 0.123)  0.00
Mg (0.544, 0.377, 0.788)  0.00
Mg (0.291, 0.877, 0.288)  0.00
Cu (0.207, 0.374, 0.459)  0.61
Cu (0.961, 0.874, 0.959)  0.61
Cu (0.039, 0.041, 0.126)  0.61
Cu (0.793, 0.541, 0.626)  0.61
Ba (0.356, 0.872, 0.627)  0.00
Ba (0.145, 0.372, 0.127)  0.00
Ba (0.855, 0.873, 0.628)  0.00
Ba (0.644, 0.373, 0.128)  0.00